Entry 1:
Material: K2OsCBr5O
Method: DFT, PBE-GGA
State: optimized geometry

Results
E (eV/atom): -4.557
E_form (uncorrected) (meV/atom): -960
Magnetization (μB/atom): 0.107

Cell: 15.213 10.601 7.592 Å, 90.00 90.00 90.00°
Space group Pnma (No. 62)
One atom of each set of equivalent atoms:
K (0.153, 0.000, 0.161) (multiplicity 8)
Os (0.118, 0.250, 0.700) (multiplicity 4)
C (0.027, 0.250, 0.542) (multiplicity 4)
Br (0.015, 0.250, 0.965) (multiplicity 4)
Br (0.120, 0.013, 0.707) (multiplicity 8)
Br (0.227, 0.250, 0.447) (multiplicity 4)
Br (0.247, 0.750, 0.417) (multiplicity 4)
O (0.029, 0.750, 0.565) (multiplicity 4)

Entry 2:
Material: KPt2CBr
Method: DFT, PBE-GGA
State: optimized geometry

Results
E (eV/atom): -1.886
E_form (uncorrected) (meV/atom): 2929
Magnetization (μB/atom): 0.134

Cell: 5.204 5.204 5.700 Å, 90.00 90.00 90.00°
Space group P4/mmm (No. 123)
One atom of each set of equivalent atoms:
K (0.000, 0.000, 0.000) (multiplicity 1)
Pt (0.000, 0.500, 0.000) (multiplicity 2)
C (0.500, 0.500, 0.500) (multiplicity 1)
Br (0.000, 0.000, 0.500) (multiplicity 1)

Entry 3:
Material: KSbC6Br5
Method: DFT, PBE-GGA
State: optimized geometry

Results
E (eV/atom): -4.894
E_form (uncorrected) (meV/atom): 409
Magnetization (μB/atom): 0.077

Cell: 7.624 7.637 13.839 Å, 90.00 90.00 90.00°
Space group P2_12_12 (No. 18)
One atom of each set of equivalent atoms:
K (0.000, 0.000, 0.004) (multiplicity 2)
Sb (0.000, 0.500, 0.802) (multiplicity 2)
C (0.000, 0.500, 0.465) (multiplicity 2)
C (0.000, 0.500, 0.645) (multiplicity 2)
C (0.110, 0.582, 0.581) (multiplicity 4)
C (0.137, 0.603, 0.487) (multiplicity 4)
Br (0.000, 0.500, 0.996) (multiplicity 2)
Br (0.199, 0.219, 0.811) (multiplicity 4)
Br (0.219, 0.198, 0.198) (multiplicity 4)

Entry 4:
Material: KScCBr2
Method: DFT, PBE-GGA
State: optimized geometry

Results
E (eV/atom): -2.520
E_form (uncorrected) (meV/atom): 1480
Magnetization (μB/atom): 0.800

Cell: 5.768 5.768 6.450 Å, 90.00 90.00 90.00°
Space group P4/mmm (No. 123)
One atom of each set of equivalent atoms:
K (0.000, 0.000, 0.000) (multiplicity 1)
Sc (0.000, 0.000, 0.500) (multiplicity 1)
C (0.500, 0.500, 0.500) (multiplicity 1)
Br (0.000, 0.500, 0.000) (multiplicity 2)